# 1
{"formula": "LiZn2Se", "functional": "PBE", "state": "relaxed", "formation_energy_uncorrected_mev_per_atom": -194, "lattice": [[-5.038, 1.721, 2.122], [-4.800, 0.531, -3.086], [4.282, -3.649, 1.094]], "species": ["Li", "Se", "Zn", "Zn"], "fractional_positions": [[0.519, 0.519, 0.000], [0.192, 0.692, 0.500], [0.991, 0.991, 0.000], [0.797, 0.297, 0.500]]}



# 2
{"formula": "HgTe2P", "functional": "PBE", "state": "relaxed", "formation_energy_uncorrected_mev_per_atom": 126, "lattice": [[4.194, 0.000, 0.000], [0.000, 4.194, 0.000], [0.000, 0.000, 6.291]], "species": ["Hg", "Te", "Te", "P"], "fractional_positions": [[0.000, 0.000, 0.412], [0.000, 0.000, 0.875], [0.500, 0.500, 0.305], [0.500, 0.500, 0.908]]}



# 3
{"formula": "Sm2YRh", "functional": "PBE", "state": "relaxed", "e_form_kcal_per_mol_atoms": -6.7, "lattice": [[3.882, 0.000, 0.000], [1.941, 3.362, 0.000], [1.941, 1.121, 9.284]], "species": ["Sm", "Sm", "Y", "Rh"], "fractional_positions": [[0.060, 0.060, 0.819], [0.273, 0.273, 0.181], [0.501, 0.501, 0.497], [0.666, 0.666, 0.002]]}



# 4
{"formula": "TmU2Sn9", "functional": "PBE", "state": "relaxed", "e_form_kcal_per_mol_atoms": -4.7, "lattice": [[-1.088, 3.914, 2.245], [-3.424, -2.220, 2.212], [8.865, -3.430, 10.279]], "species": ["Tm", "U", "U", "Sn", "Sn", "Sn", "Sn", "Sn", "Sn", "Sn", "Sn", "Sn"], "fractional_positions": [[0.000, 0.000, 0.000], [0.000, 0.000, 0.336], [0.000, 0.000, 0.664], [0.500, 0.500, 0.000], [0.500, 0.500, 0.334], [0.500, 0.500, 0.666], [0.500, 0.000, 0.168], [0.500, 0.000, 0.500], [0.500, 0.000, 0.832], [0.000, 0.500, 0.168], [0.000, 0.500, 0.500], [0.000, 0.500, 0.832]]}